5
Lattice="5.702 0.000 0.000 0.000 5.702 0.000 0.000 0.000 5.702" Properties=species:S:1:pos:R:3 comment="Ba3CrF GGA+U optimized geometry" e_tot_ev_per_atom=-3.84 pbc="T T T"
Ba 0.000 0.000 2.851
Ba 0.000 2.851 0.000
Ba 2.851 0.000 0.000
Cr 2.851 2.851 2.851
F 0.000 0.000 0.000